Compound: RbCaAg2
Source: Alexandria via LeMat-Bulk
Functional: PBE
Structure: relaxed

Cell lengths 8.682, 8.682, 7.598 Å; angles 90.00, 90.00, 90.00 degrees
Fractional coordinates of all 16 atoms:
1 Rb 0.000 0.000 0.000
2 Rb 0.000 0.500 0.250
3 Rb 0.500 0.000 0.750
4 Rb 0.500 0.500 0.500
5 Ca 0.000 0.000 0.500
6 Ca 0.000 0.500 0.750
7 Ca 0.500 0.000 0.250
8 Ca 0.500 0.500 0.000
9 Ag 0.215 0.250 0.625
10 Ag 0.250 0.715 0.875
11 Ag 0.250 0.785 0.375
12 Ag 0.285 0.250 0.125
13 Ag 0.715 0.750 0.125
14 Ag 0.750 0.215 0.375
15 Ag 0.750 0.285 0.875
16 Ag 0.785 0.750 0.625

Properties
Volume ... 35.794 Å³ per atom
Uncorrected energy ... -7.97 eV per formula unit
Magnetic moment ... 0.00 μB per formula unit
Polymorph energy (0 for the lowest one) ... 286 meV/atom
Energy of formation from the pure elements ... 0.70 eV/f.u.
D(E_F) ... 8.8 states/eV per cell